Entry from the Alexandria database: a relaxed K2AlCrF6 crystal (PBE+U).

a b c (Å): 6.0418 6.0421 8.1708
angles (deg): 90.00 90.00 90.00
Site moments in Bohr magnetons follow the coordinates.
Element x y z (fractional)
F: 0.5000 0.2500 0.2742  0.01
F: 0.2144 0.9644 0.0000  0.01
F: 0.7144 0.0356 0.5000  0.01
F: 0.7856 0.9644 0.0000  0.01
F: 0.0000 0.7500 0.7742  0.01
F: 0.7856 0.5356 0.0000  0.01
F: 0.5000 0.2500 0.7258  0.01
Cr: 0.5000 0.2500 0.0000  4.62
K: 0.5000 0.7500 0.7498  0.01
F: 0.2856 0.0356 0.5000  0.01
F: 0.2856 0.4644 0.5000  0.01
F: 0.2144 0.5356 0.0000  0.01
K: 0.0000 0.2500 0.2498  0.01
Cr: 0.0000 0.7500 0.5000  4.62
K: 0.5000 0.7500 0.2502  0.01
F: 0.0000 0.7500 0.2258  0.01
Al: 0.0000 0.7500 0.0000  0.01
K: 0.0000 0.2500 0.7502  0.01
F: 0.7144 0.4644 0.5000  0.01
Al: 0.5000 0.2500 0.5000  0.01

Values from the calculation:
DOS at the Fermi energy = 0.027 states/eV per atom
Electronic total energy = -5.32 eV per atom